Computed, not measured: a geometry-optimized Ag5Cl4F structure at the GGA-PBE level of DFT.

Lattice parameters (Å, degrees): 3.931 3.931 13.878 98.14 98.14 90.00
Positions (direct):
Cl 0.196 0.196 0.393
Ag 0.089 0.089 0.178
Ag 0.700 0.700 0.400
Cl 0.594 0.594 0.188
Ag 0.911 0.911 0.822
Ag 0.500 0.500 0.000
F 0.000 0.000 0.000
Cl 0.406 0.406 0.812
Ag 0.300 0.300 0.600
Cl 0.804 0.804 0.607

## Properties
Energy relative to the elements, uncorrected (eV/atom): -0.5256
V (Å³/cell): 210